Record 1
CeFeCo4 after structural relaxation, computed with PBE.

Summary:
As for the formation energy: -22 meV per atom. Its crystal system is cubic.

Cell: 6.9165 6.9165 6.9165 Å, 90.00 90.00 90.00°
Last column: nearest neighbours and their distance in Å.
Space group F-43m (No. 216)
Unique sites:
Ce (0.0000, 0.0000, 0.0000) (multiplicity 4)  12 Co 2.87, 4 Fe 2.99
Fe (0.2500, 0.2500, 0.7500) (multiplicity 4)  12 Co 2.87, 4 Ce 2.99
Co (0.1241, 0.1241, 0.3759) (multiplicity 16)  6 Co 2.43-2.46

=====

Record 2
BaNbCdMo2 after structural relaxation, computed with PBE.

Summary:
As for the formation energy: 1522 meV per atom. Its crystal system is tetragonal.

Cell: 4.8444 4.8444 5.9657 Å, 90.00 90.00 90.00°
Last column: nearest neighbours and their distance in Å.
Space group P4/mmm (No. 123)
Unique sites:
Ba (0.0000, 0.0000, 0.0000) (multiplicity 1)  2 Nb 2.98
Nb (0.0000, 0.0000, 0.5000) (multiplicity 1)  4 Mo 2.42
Cd (0.5000, 0.5000, 0.0000) (multiplicity 1)  4 Ba 3.43
Mo (0.0000, 0.5000, 0.5000) (multiplicity 2)  2 Nb 2.42

=====

Record 3
Tl2HgRh after structural relaxation, computed with PBE.

Summary:
As for the formation energy: 172 meV per atom. Its crystal system is trigonal. For the polymorph energy (0 for the lowest one), the calculation gives 123 meV/atom.

Cell: 3.4336 3.4336 28.0515 Å, 90.00 90.00 120.00°
Last column: nearest neighbours and their distance in Å.
Space group R3m (No. 160, hexagonal axes)
Unique sites:
Tl (0.0000, 0.0000, 0.0000) (multiplicity 3)  3 Rh 2.76
Tl (0.0000, 0.0000, 0.2326) (multiplicity 3)  3 Hg 3.28, 9 Tl 3.43-3.45
Hg (0.0000, 0.0000, 0.4726) (multiplicity 3)  3 Rh 2.80
Rh (0.0000, 0.0000, 0.7353) (multiplicity 3)  3 Tl 2.76, 3 Hg 2.80

=====

Record 4
TbCeIrRu after structural relaxation, computed with PBE.

Summary:
As for the formation energy: -524 meV per atom. Its crystal system is cubic. For the polymorph energy (0 for the lowest one), the calculation gives 20 meV/atom.

Cell: 6.9110 6.9110 6.9110 Å, 90.00 90.00 90.00°
Last column: nearest neighbours and their distance in Å.
Space group F-43m (No. 216)
Unique sites:
Tb (0.0000, 0.0000, 0.0000) (multiplicity 4)  4 Ru 2.99, 4 Ir 2.99
Ce (0.0000, 0.0000, 0.5000) (multiplicity 4)  4 Ru 2.99, 4 Ir 2.99
Ir (0.2500, 0.2500, 0.7500) (multiplicity 4)  4 Tb 2.99, 4 Ce 2.99
Ru (0.2500, 0.2500, 0.2500) (multiplicity 4)  4 Tb 2.99, 4 Ce 2.99

=====

Record 5
Tb12Os3O5 after structural relaxation, computed with PBE.

Summary:
For the uncorrected formation energy, the calculation gives -29.98 eV per formula unit. Its crystal system is cubic.

Cell: 15.2054 15.2054 15.2054 Å, 90.00 90.00 90.00°
Last column: nearest neighbours and their distance in Å.
Space group Ia-3d (No. 230)
Unique sites:
Tb (0.0311, 0.0562, 0.6522) (multiplicity 96)  1 O 2.23
Os (0.0000, 0.2500, 0.1250) (multiplicity 24)  8 Tb 2.93-3.01
O (0.0000, 0.0000, 0.0000) (multiplicity 16)  6 Tb 2.51
O (0.0000, 0.2500, 0.3750) (multiplicity 24)  4 Tb 2.23

=====

Record 6
LiLaGeN2 after structural relaxation, computed with PBE.

Summary:
For the uncorrected formation energy, the calculation gives -1.73 eV per formula unit. Its crystal system is monoclinic. For the polymorph energy (0 for the lowest one), the calculation gives 0 meV/atom.

Cell: 5.6822 4.0316 6.5469 Å, 90.00 96.19 90.00°
Last column: nearest neighbours and their distance in Å.
Space group P2/c (No. 13)
Unique sites:
Li (0.0000, 0.0178, 0.2500) (multiplicity 2)  2 N 2.16
La (0.5000, 0.2536, 0.7500) (multiplicity 2)  6 N 2.52-2.78
Ge (0.0000, 0.5000, 0.0000) (multiplicity 2)  2 N 1.92
N (0.2624, 0.2054, 0.0645) (multiplicity 4)  1 Ge 1.92

=====

Record 7
Ca2ReBr after structural relaxation, computed with PBE.

Summary:
For the uncorrected formation energy, the calculation gives 0.01 eV per formula unit. Its crystal system is monoclinic. For the polymorph energy (0 for the lowest one), the calculation gives 88 meV/atom.

Cell: 6.5920 3.2967 8.9850 Å, 90.00 99.85 90.00°
Last column: nearest neighbours and their distance in Å.
Space group C2/m (No. 12)
Unique sites:
Ca (0.2428, 0.0000, 0.2610) (multiplicity 4)  3 Re 2.89-2.99, 3 Br 3.08-3.12
Re (0.0000, 0.0000, 0.5000) (multiplicity 2)  6 Ca 2.89-2.99
Br (0.0000, 0.5000, 0.0000) (multiplicity 2)  6 Ca 3.08-3.12, 2 Br 3.30

=====

Record 8
FeHg2Pb after structural relaxation, computed with PBE.

Summary:
As for the formation energy: 349 meV per atom. Its crystal system is tetragonal.

Cell: 3.1704 3.1704 8.9027 Å, 90.00 90.00 90.00°
Last column: nearest neighbours and their distance in Å.
Space group P4/mmm (No. 123)
Unique sites:
Fe (0.0000, 0.0000, 0.0000) (multiplicity 1)  8 Hg 2.85, 4 Fe 3.17
Hg (0.5000, 0.5000, 0.1973) (multiplicity 2)  4 Fe 2.85, 4 Hg 3.17
Pb (0.0000, 0.0000, 0.5000) (multiplicity 1)  4 Pb 3.17, 8 Hg 3.51

=====

So what do the calculations give for density? Going down the list: 8.666, 6.340, 12.389, 11.919, 9.665, 5.490, 5.978, 12.325 g/cm³.